Here is crystalline NbInS2Cl at its relaxed geometry from Alexandria. Energies are from PBE.

The value obtained for the excess energy over the best structure of this formula in the dataset is 1.093 eV/atom. Its energy relative to the elements, uncorrected is 0.463 eV per atom. Its symmetry is P4/mmm, No. 123.

Cell: 5.0234 5.0234 4.8734 Å, 90.00 90.00 90.00°
Last column: nearest neighbours and their distance in Å.
Positions (direct):
Cl (0.0000, 0.0000, 0.5000)  2 In 2.44
Nb (0.5000, 0.5000, 0.5000)  8 S 3.50, 4 Cl 3.55
In (0.0000, 0.0000, 0.0000)  2 Cl 2.44, 4 S 2.51
S (0.0000, 0.5000, 0.0000)  2 In 2.51
S (0.5000, 0.0000, 0.0000)  2 In 2.51



Here is crystalline LiBiHPd2 at its relaxed geometry from Alexandria. Energies are from PBE.

The value obtained for the excess energy over the best structure of this formula in the dataset is 0.000 eV/atom. Its symmetry is P4/mmm, No. 123.

Cell: 4.1616 4.1616 4.1570 Å, 90.00 90.00 90.00°
Last column: nearest neighbours and their distance in Å.
Positions (direct):
H (0.0000, 0.0000, 0.0000)  2 Li 2.08, 4 Pd 2.08
Pd (0.0000, 0.5000, 0.0000)  2 H 2.08
Pd (0.5000, 0.0000, 0.0000)  2 H 2.08
Bi (0.5000, 0.5000, 0.5000)  8 Pd 2.94, 4 Li 2.94
Li (0.0000, 0.0000, 0.5000)  2 H 2.08



Here is crystalline Ba2BiSb2 at its relaxed geometry from Alexandria. Energies are from PBE.

The value obtained for the excess energy over the best structure of this formula in the dataset is 0.092 eV/atom. Its energy relative to the elements, uncorrected is -0.740 eV per atom. Its symmetry is C2/m, No. 12.

Cell: 4.8475 7.1241 12.5836 Å, 90.35 78.89 70.11°
Last column: nearest neighbours and their distance in Å.
Positions (direct):
Sb (0.0482, 0.7803, 0.1234)  1 Bi 3.05
Sb (0.1295, 0.3087, 0.4323)  1 Sb 2.95, 2 Bi 3.13
Sb (0.9518, 0.2197, 0.8766)  1 Bi 3.05
Sb (0.8705, 0.6913, 0.5677)  1 Sb 2.95, 2 Bi 3.13
Ba (0.5277, 0.2878, 0.6567)  7 Sb 3.69-4.06, 3 Bi 3.76-3.92
Ba (0.3276, 0.2532, 0.0916)  3 Sb 3.52-3.59, 2 Bi 3.66, 1 Ba 3.93
Ba (0.6724, 0.7468, 0.9084)  3 Sb 3.52-3.59, 2 Bi 3.66, 1 Ba 3.93
Ba (0.4723, 0.7122, 0.3433)  7 Sb 3.69-4.06, 3 Bi 3.76-3.92
Bi (0.2127, 0.8728, 0.7019)  3 Sb 3.05-3.13
Bi (0.7873, 0.1272, 0.2981)  3 Sb 3.05-3.13



Here is crystalline BaVTcMo2 at its relaxed geometry from Alexandria. Energies are from PBE.

Its formation energy is 1.900 eV per atom. Its symmetry is P4/mmm, No. 123.

Cell: 4.5558 5.4629 4.5558 Å, 90.00 90.00 90.00°
Last column: nearest neighbours and their distance in Å.
Positions (direct):
Ba (0.0000, 0.5000, 0.0000)  2 V 2.73
Mo (0.5000, 0.0000, 0.0000)  2 V 2.28
Mo (0.0000, 0.0000, 0.5000)  2 V 2.28
V (0.0000, 0.0000, 0.0000)  4 Mo 2.28
Tc (0.5000, 0.5000, 0.5000)  4 Ba 3.22, 8 Mo 3.56